No. 1
Crystalline Dy6Y12Tm at its relaxed geometry. Source: Alexandria, functional PBE.

Values from the calculation:
**V**: 33.622 Å³ per atom
**Formation energy**: 258 meV per atom
**ρ**: 5.75 g/cm3

```
Dy6Y12Tm
1.0
7.325 4.229 3.437
-7.325 4.229 3.437
0.000 -8.458 3.437
Dy Y Tm
6 12 1
direct
0.050 0.314 0.421
0.314 0.421 0.050
0.421 0.050 0.314
0.579 0.950 0.686
0.686 0.579 0.950
0.950 0.686 0.579
0.016 0.921 0.310
0.079 0.690 0.984
0.218 0.675 0.365
0.310 0.016 0.921
0.325 0.635 0.782
0.365 0.218 0.675
0.635 0.782 0.325
0.675 0.365 0.218
0.690 0.984 0.079
0.782 0.325 0.635
0.921 0.310 0.016
0.984 0.079 0.690
0.500 0.500 0.500
```


No. 2
Crystalline EuEr2Ti at its relaxed geometry. Source: Alexandria, functional PBE.

Values from the calculation:
**V**: 28.939 Å³ per atom
**Formation energy**: 172 meV per atom
**ρ**: 7.67 g/cm3

```
EuEr2Ti
1.0
3.456 0.000 0.000
0.000 3.456 0.000
0.000 0.000 9.691
Eu Er Ti
1 2 1
direct
0.000 0.000 0.000
0.500 0.500 0.299
0.500 0.500 0.701
0.000 0.000 0.500
```